# 1
Computed, not measured: BeCu2 after structural relaxation at the GGA-PBE level of DFT.

```
BeCu2
1.0
5.990 -0.030 0.000
-4.791 3.596 0.000
0.000 0.000 2.983
Be Cu
2 4
Cartesian
2.387 1.182 0.000
-1.188 2.384 0.000
0.000 0.000 0.000
0.600 1.783 1.492
4.104 0.605 1.492
-2.904 2.962 1.492
```

Summary:
ρ: 7.08 g/cm3
SG: Cmmm
Raw total energy: -23.950 eV per cell

=====

# 2
Computed, not measured: AlNi4Ge2 after structural relaxation at the GGA-PBE level of DFT.

```
AlNi4Ge2
1.0
-1.878 -1.231 -3.570
3.776 -0.579 -1.787
0.995 -6.661 -0.717
Ni Ge Al
4 2 1
Cartesian
0.978 -4.479 -1.460
1.916 -3.992 -4.613
1.888 -0.289 -0.893
-0.939 -0.616 -1.785
0.961 -2.316 -2.197
1.933 -6.155 -3.876
0.000 0.000 0.000
```

Summary:
ρ: 6.25 g/cm3
SG: I4/mmm
Raw total energy: -33.373 eV per cell
Offset from the most stable computed form: 66.1 kJ per mole of atoms